VASP calculation (PBE) on a geometry-optimized In2GaSn structure.

abc: 3.647 3.647 7.651
angles: 90.00 90.00 90.00
Element x y z (fractional)
Sn: 0.500 0.500 0.500
Ga: 0.500 0.500 0.000
In: 0.000 0.000 0.773
In: 0.000 0.000 0.227

Computed properties:
The calculation puts the calculated total energy at -3.062 eV per atom. The formation energy from the elements comes out at 65.0 meV/atom. The symmetry is P4/mmm. As for the density of states at the Fermi level: 0.66 states/eV per atom. The polymorph energy (0 for the lowest one) comes out at 0.021 eV/atom.



VASP calculation (PBE) on a geometry-optimized In7GaSn4 structure.

abc: 5.513 9.364 7.533
angles: 74.41 68.53 72.88
Element x y z (fractional)
In: 0.818 0.939 0.424
In: 0.182 0.061 0.576
In: 0.084 0.664 0.168
In: 0.916 0.336 0.832
In: 0.342 0.544 0.771
In: 0.500 0.000 0.000
In: 0.658 0.456 0.229
Ga: 0.000 0.000 0.000
Sn: 0.572 0.242 0.614
Sn: 0.428 0.758 0.386
Sn: 0.740 0.701 0.819
Sn: 0.260 0.299 0.181

Computed properties:
The calculation puts the calculated total energy at -3.090 eV per atom. The formation energy from the elements comes out at 93.7 meV/atom. The symmetry is C2/m. As for the density of states at the Fermi level: 0.49 states/eV per atom.



VASP calculation (PBE) on a geometry-optimized In3Ga3Sn5 structure.

abc: 3.343 10.310 10.310
angles: 120.00 90.00 90.00
Element x y z (fractional)
In: 0.000 0.511 0.511
In: 0.000 0.489 0.000
In: 0.000 0.000 0.489
Ga: 0.500 0.734 0.734
Ga: 0.500 0.000 0.266
Ga: 0.500 0.266 0.000
Sn: 0.500 0.333 0.667
Sn: 0.500 0.667 0.333
Sn: 0.500 0.263 0.263
Sn: 0.500 0.000 0.737
Sn: 0.500 0.737 0.000

Computed properties:
The calculation puts the calculated total energy at -3.268 eV per atom. The formation energy from the elements comes out at 123.5 meV/atom. The symmetry is P-62m. As for the density of states at the Fermi level: 0.58 states/eV per atom.



Question: calculated total energy of number 3 (In3Ga3Sn5)?
Answer: -3.268 eV per atom



What did the third record say?
VASP calculation (PBE) on a geometry-optimized In3Ga3Sn5 structure.

abc: 3.343 10.310 10.310
angles: 120.00 90.00 90.00
Element x y z (fractional)
In: 0.000 0.511 0.511
In: 0.000 0.489 0.000
In: 0.000 0.000 0.489
Ga: 0.500 0.734 0.734
Ga: 0.500 0.000 0.266
Ga: 0.500 0.266 0.000
Sn: 0.500 0.333 0.667
Sn: 0.500 0.667 0.333
Sn: 0.500 0.263 0.263
Sn: 0.500 0.000 0.737
Sn: 0.500 0.737 0.000

Computed properties:
The calculation puts the calculated total energy at -3.268 eV per atom. The formation energy from the elements comes out at 123.5 meV/atom. The symmetry is P-62m. As for the density of states at the Fermi level: 0.58 states/eV per atom.



Question: Which of these has the lowest formation energy from the elements?
Answer: In2GaSn